(1)
# CsCrGa2I8, optimized geometry, DFT GGA-PBE
# E, eV/cell: -107.17
# ΔE_f (raw), eV/atom: -0.566
data_CsCrGa2I8
_cell_length_a 7.4498
_cell_length_b 7.4498
_cell_length_c 32.3993
_cell_angle_alpha 90.00
_cell_angle_beta 90.00
_cell_angle_gamma 120.00
_symmetry_space_group_name_H-M 'R -3'
_symmetry_Int_Tables_number 148
_symmetry_space_group_name_Hall '-R 3'
loop_
_atom_site_label
_atom_site_type_symbol
_atom_site_fract_x
_atom_site_fract_y
_atom_site_fract_z
Cs1 Cs 0.0000 0.0000 0.0000
Cr1 Cr 0.0000 0.0000 0.5000
Ga1 Ga 0.0000 0.0000 0.2460
I1 I 0.0000 0.0000 0.3264
I2 I 0.0044 0.3243 0.4456



(2)
# CsCrGa2Ni, optimized geometry, DFT GGA-PBE
# E, eV/cell: -18.98
# Formation energy from the elements, eV per formula unit: 3.3
data_CsCrGa2Ni
_cell_length_a 4.7222
_cell_length_b 4.7222
_cell_length_c 6.0158
_cell_angle_alpha 90.00
_cell_angle_beta 90.00
_cell_angle_gamma 90.00
_symmetry_space_group_name_H-M 'P 4/m m m'
_symmetry_Int_Tables_number 123
_symmetry_space_group_name_Hall '-P 4 2'
loop_
_atom_site_label
_atom_site_type_symbol
_atom_site_fract_x
_atom_site_fract_y
_atom_site_fract_z
Cs1 Cs 0.0000 0.0000 0.0000
Cr1 Cr 0.5000 0.5000 0.0000
Ga1 Ga 0.0000 0.5000 0.5000
Ni1 Ni 0.0000 0.0000 0.5000



The lowest E belongs to which entry?
CsCrGa2I8



The lowest E belongs to which entry?
CsCrGa2I8



Which value of E does entry 2 give?
-18.98 eV/cell